(1)
A plane-wave DFT calculation with GGA-PBE was carried out for a relaxed structure of YEr2Bi.

Cell lengths 4.1429, 6.5256, 9.5915 Å; angles 90.00, 90.00, 108.50 degrees
Element x y z (fractional)
Y: 0.9451 0.8901 0.2500
Y: 0.0549 0.1099 0.7500
Er: 0.3669 0.7339 0.5460
Er: 0.6331 0.2661 0.4540
Er: 0.3669 0.7339 0.9540
Er: 0.6331 0.2661 0.0460
Bi: 0.7580 0.5160 0.7500
Bi: 0.2420 0.4840 0.2500

Output
relative energy among the computed polymorphs	0.00	eV/f.u.


(2)
A plane-wave DFT calculation with GGA-PBE was carried out for a relaxed structure of YErBi.

Cell lengths 4.5404, 4.5404, 8.5971 Å; angles 90.00, 90.00, 90.00 degrees
Element x y z (fractional)
Y: 0.0000 0.5000 0.8460
Y: 0.5000 0.0000 0.1540
Er: 0.5000 0.5000 0.5000
Er: 0.0000 0.0000 0.5000
Bi: 0.0000 0.5000 0.2178
Bi: 0.5000 0.0000 0.7822


(3)
A plane-wave DFT calculation with GGA-PBE was carried out for a relaxed structure of YEr5Bi6.

Cell lengths 7.7132, 7.7169, 7.7159 Å; angles 60.00, 80.41, 70.53 degrees
Element x y z (fractional)
Y: 0.0000 0.0000 0.0000
Er: 0.5000 0.1657 0.6685
Er: 0.0000 0.3329 0.3342
Er: 0.5000 0.5000 0.0000
Er: 0.0000 0.6671 0.6658
Er: 0.5000 0.8343 0.3315
Bi: 0.7487 0.0839 0.3349
Bi: 0.2513 0.5812 0.3349
Bi: 0.2503 0.2518 0.0000
Bi: 0.7497 0.7482 0.0000
Bi: 0.7487 0.4188 0.6651
Bi: 0.2513 0.9161 0.6651


(4)
A plane-wave DFT calculation with GGA-PBE was carried out for a relaxed structure of YErBi.

Cell lengths 4.2503, 6.2497, 8.1594 Å; angles 65.31, 90.00, 90.00 degrees
Element x y z (fractional)
Y: 0.7500 0.2010 0.5981
Y: 0.2500 0.7990 0.4019
Er: 0.7500 0.7473 0.0535
Er: 0.2500 0.2527 0.9465
Bi: 0.2500 0.3680 0.2856
Bi: 0.7500 0.6320 0.7144


(5)
A plane-wave DFT calculation with GGA-PBE was carried out for a relaxed structure of Y3ErBi4.

Cell lengths 6.3227, 6.3227, 6.3227 Å; angles 90.00, 90.00, 90.00 degrees
Element x y z (fractional)
Y: 0.0000 0.5000 0.5000
Y: 0.5000 0.0000 0.5000
Y: 0.5000 0.5000 0.0000
Bi: 0.5000 0.0000 0.0000
Bi: 0.0000 0.5000 0.0000
Bi: 0.0000 0.0000 0.5000
Bi: 0.5000 0.5000 0.5000
Er: 0.0000 0.0000 0.0000

Output
relative energy among the computed polymorphs	0.00	eV/f.u.


(6)
A plane-wave DFT calculation with GGA-PBE was carried out for a relaxed structure of YEr3Bi2.

Cell lengths 4.5459, 4.5459, 8.5288 Å; angles 90.00, 90.00, 90.00 degrees
Element x y z (fractional)
Y: 0.5000 0.5000 0.0000
Er: 0.5000 0.0000 0.3429
Er: 0.0000 0.5000 0.6571
Er: 0.0000 0.0000 0.0000
Bi: 0.5000 0.0000 0.7137
Bi: 0.0000 0.5000 0.2863

Output
relative energy among the computed polymorphs	0.00	eV/f.u.


(7)
A plane-wave DFT calculation with GGA-PBE was carried out for a relaxed structure of Y3Er5Bi2.

Cell lengths 6.3849, 10.5993, 10.5993 Å; angles 95.00, 72.47, 72.47 degrees
Element x y z (fractional)
Y: 0.2500 0.0000 0.0000
Y: 0.7500 0.0000 0.0000
Y: 0.3702 0.3343 0.9253
Y: 0.6298 0.6657 0.0747
Y: 0.8702 0.9253 0.3343
Y: 0.1298 0.0747 0.6657
Er: 0.2500 0.5000 0.5000
Er: 0.7500 0.5000 0.5000
Er: 0.5083 0.7417 0.7417
Er: 0.9917 0.2583 0.2583
Er: 0.4917 0.2583 0.2583
Er: 0.0083 0.7417 0.7417
Er: 0.0860 0.5791 0.2489
Er: 0.9140 0.4209 0.7511
Er: 0.5860 0.2489 0.5791
Er: 0.4140 0.7511 0.4209
Bi: 0.1476 0.7034 0.0014
Bi: 0.8524 0.2966 0.9986
Bi: 0.6476 0.0014 0.7034
Bi: 0.3524 0.9986 0.2966


(8)
A plane-wave DFT calculation with GGA-PBE was carried out for a relaxed structure of Y2Er2Bi3.

Cell lengths 4.4420, 7.4259, 7.4539 Å; angles 98.59, 90.02, 107.45 degrees
Element x y z (fractional)
Y: 0.6229 0.2456 0.8553
Y: 0.3771 0.7544 0.1447
Er: 0.8842 0.7675 0.6105
Er: 0.1158 0.2325 0.3895
Bi: 0.0000 0.0000 0.0000
Bi: 0.7387 0.4782 0.2520
Bi: 0.2613 0.5218 0.7480


(9)
A plane-wave DFT calculation with GGA-PBE was carried out for a relaxed structure of YEr4Bi5.

Cell lengths 4.4554, 6.2970, 11.7840 Å; angles 105.50, 100.90, 90.00 degrees
Element x y z (fractional)
Y: 0.0000 0.0000 0.0000
Er: 0.4001 0.4001 0.8001
Er: 0.7995 0.7995 0.5990
Er: 0.2005 0.2005 0.4010
Er: 0.5999 0.5999 0.1999
Bi: 0.6011 0.1011 0.2021
Bi: 0.8003 0.3003 0.6005
Bi: 0.1997 0.6997 0.3995
Bi: 0.0000 0.5000 0.0000
Bi: 0.3989 0.8989 0.7979


(10)
A plane-wave DFT calculation with GGA-PBE was carried out for a relaxed structure of Y5Er2Bi4.

Cell lengths 4.2529, 8.2910, 11.8725 Å; angles 115.19, 100.32, 90.00 degrees
Element x y z (fractional)
Y: 0.0999 0.7307 0.1997
Y: 0.9001 0.2693 0.8003
Y: 0.1739 0.3598 0.3478
Y: 0.5000 0.0000 0.0000
Y: 0.8261 0.6402 0.6522
Er: 0.2912 0.9255 0.5824
Er: 0.7088 0.0745 0.4176
Bi: 0.6909 0.6668 0.3818
Bi: 0.9646 0.6934 0.9292
Bi: 0.3091 0.3332 0.6182
Bi: 0.0354 0.3066 0.0708


(11)
A plane-wave DFT calculation with GGA-PBE was carried out for a relaxed structure of YEr3Bi3.

Cell lengths 9.3444, 9.3444, 9.3444 Å; angles 90.00, 90.00, 90.00 degrees
Element x y z (fractional)
Y: 0.0726 0.5726 0.9274
Y: 0.9274 0.0726 0.5726
Y: 0.4274 0.4274 0.4274
Y: 0.5726 0.9274 0.0726
Er: 0.8227 0.3227 0.1773
Er: 0.9247 0.9247 0.9247
Er: 0.8238 0.6762 0.3238
Er: 0.1773 0.8227 0.3227
Er: 0.1762 0.1762 0.1762
Er: 0.3238 0.8238 0.6762
Er: 0.0753 0.4247 0.5753
Er: 0.3227 0.1773 0.8227
Er: 0.6762 0.3238 0.8238
Er: 0.6773 0.6773 0.6773
Er: 0.5753 0.0753 0.4247
Er: 0.4247 0.5753 0.0753
Bi: 0.7477 0.6242 0.0010
Bi: 0.8758 0.9990 0.2477
Bi: 0.0010 0.7477 0.6242
Bi: 0.1242 0.4990 0.2523
Bi: 0.2523 0.1242 0.4990
Bi: 0.2477 0.8758 0.9990
Bi: 0.9990 0.2477 0.8758
Bi: 0.3758 0.5010 0.7523
Bi: 0.4990 0.2523 0.1242
Bi: 0.6242 0.0010 0.7477
Bi: 0.7523 0.3758 0.5010
Bi: 0.5010 0.7523 0.3758

Output
relative energy among the computed polymorphs	0.00	eV/f.u.


(12)
A plane-wave DFT calculation with GGA-PBE was carried out for a relaxed structure of Y3ErBi4.

Cell lengths 4.4764, 7.7478, 7.7478 Å; angles 109.47, 90.00, 90.00 degrees
Element x y z (fractional)
Y: 0.0000 0.0000 0.5000
Y: 0.5000 0.5000 0.5000
Y: 0.0000 0.5000 0.0000
Er: 0.5000 0.0000 0.0000
Bi: 0.0000 0.2481 0.2481
Bi: 0.5000 0.7510 0.2490
Bi: 0.0000 0.7519 0.7519
Bi: 0.5000 0.2490 0.7510

Output
relative energy among the computed polymorphs	0.04	eV/f.u.


(13)
A plane-wave DFT calculation with GGA-PBE was carried out for a relaxed structure of YErBi.

Cell lengths 4.0314, 4.0314, 6.1265 Å; angles 109.21, 109.21, 90.00 degrees
Element x y z (fractional)
Y: 0.9591 0.9591 0.9183
Bi: 0.6176 0.6176 0.2351
Er: 0.2733 0.2733 0.5466


(14)
A plane-wave DFT calculation with GGA-PBE was carried out for a relaxed structure of YEr2Bi.

Cell lengths 3.6479, 3.6479, 10.9247 Å; angles 80.39, 80.39, 60.00 degrees
Element x y z (fractional)
Y: 0.4998 0.4998 0.5007
Er: 0.0801 0.0801 0.7597
Er: 0.2535 0.2535 0.2395
Bi: 0.6666 0.6666 0.0001

Output
relative energy among the computed polymorphs	0.79	eV/f.u.


(15)
A plane-wave DFT calculation with GGA-PBE was carried out for a relaxed structure of Y5ErBi6.

Cell lengths 7.7528, 7.7563, 7.7553 Å; angles 60.00, 80.40, 70.53 degrees
Element x y z (fractional)
Y: 0.5000 0.1674 0.6653
Y: 0.0000 0.3336 0.3328
Y: 0.5000 0.5000 0.0000
Y: 0.0000 0.6664 0.6672
Y: 0.5000 0.8326 0.3347
Er: 0.0000 0.0000 0.0000
Bi: 0.7512 0.0829 0.3318
Bi: 0.2488 0.5853 0.3318
Bi: 0.2494 0.2485 0.0000
Bi: 0.7506 0.7515 0.0000
Bi: 0.7512 0.4147 0.6682
Bi: 0.2488 0.9171 0.6682


(16)
A plane-wave DFT calculation with GGA-PBE was carried out for a relaxed structure of Y5Er3Bi12.

Cell lengths 15.8306, 15.8306, 15.8306 Å; angles 109.47, 109.47, 109.47 degrees
Element x y z (fractional)
Er: 0.7500 0.3750 0.1250
Er: 0.8750 0.7500 0.1250
Er: 0.3750 0.7500 0.6250
Er: 0.2500 0.1250 0.3750
Er: 0.8750 0.1250 0.2500
Er: 0.3750 0.6250 0.2500
Er: 0.6250 0.3750 0.7500
Er: 0.1250 0.8750 0.7500
Er: 0.7500 0.8750 0.6250
Er: 0.6250 0.2500 0.3750
Er: 0.1250 0.2500 0.8750
Er: 0.2500 0.6250 0.8750
Y: 0.1250 0.3750 0.2500
Y: 0.0000 0.5000 0.0000
Y: 0.0000 0.0000 0.0000
Y: 0.3750 0.2500 0.1250
Y: 0.5000 0.0000 0.5000
Y: 0.5000 0.5000 0.0000
Y: 0.1250 0.7500 0.3750
Y: 0.7500 0.1250 0.8750
Y: 0.7500 0.6250 0.3750
Y: 0.3750 0.1250 0.7500
Y: 0.6250 0.8750 0.2500
Y: 0.5000 0.5000 0.5000
Y: 0.5000 0.0000 0.0000
Y: 0.0000 0.0000 0.5000
Y: 0.2500 0.3750 0.6250
Y: 0.2500 0.8750 0.1250
Y: 0.0000 0.5000 0.5000
Y: 0.8750 0.2500 0.6250
Y: 0.6250 0.7500 0.8750
Y: 0.8750 0.6250 0.7500
Bi: 0.7415 0.1317 0.0655
Bi: 0.3240 0.5655 0.4338
Bi: 0.9345 0.3683 0.2585
Bi: 0.5655 0.2415 0.1317
Bi: 0.6098 0.7415 0.6760
Bi: 0.9345 0.5662 0.1760
Bi: 0.3240 0.7585 0.3902
Bi: 0.0662 0.8902 0.1317
Bi: 0.5662 0.9345 0.6760
Bi: 0.7415 0.6098 0.1760
Bi: 0.7585 0.4345 0.3683
Bi: 0.8240 0.9338 0.0655
Bi: 0.1317 0.7415 0.5655
Bi: 0.3683 0.4338 0.1098
Bi: 0.1098 0.9338 0.3683
Bi: 0.3902 0.1317 0.5662
Bi: 0.1098 0.1760 0.2415
Bi: 0.4345 0.6760 0.0662
Bi: 0.8240 0.8902 0.2585
Bi: 0.1317 0.3902 0.0662
Bi: 0.3683 0.9345 0.7585
Bi: 0.5662 0.6317 0.3902
Bi: 0.9338 0.8240 0.5655
Bi: 0.7585 0.3240 0.8902
Bi: 0.4338 0.3683 0.6098
Bi: 0.0662 0.1760 0.4345
Bi: 0.2415 0.6760 0.1098
Bi: 0.1760 0.1098 0.7415
Bi: 0.6317 0.0655 0.2415
Bi: 0.8683 0.6098 0.9338
Bi: 0.5655 0.3240 0.9338
Bi: 0.6098 0.8683 0.4338
Bi: 0.8902 0.8240 0.7585
Bi: 0.8902 0.0662 0.6317
Bi: 0.8683 0.2585 0.4345
Bi: 0.1760 0.0662 0.9345
Bi: 0.6317 0.5662 0.8902
Bi: 0.4338 0.0655 0.3240
Bi: 0.2585 0.3902 0.8240
Bi: 0.2415 0.5655 0.6317
Bi: 0.9338 0.1098 0.8683
Bi: 0.6760 0.2415 0.6098
Bi: 0.4345 0.7585 0.8683
Bi: 0.0655 0.4338 0.8240
Bi: 0.3902 0.2585 0.3240
Bi: 0.0655 0.6317 0.7415
Bi: 0.6760 0.4345 0.5662
Bi: 0.2585 0.8683 0.9345


(17)
A plane-wave DFT calculation with GGA-PBE was carried out for a relaxed structure of Y5Er2Bi5.

Cell lengths 4.4381, 7.6352, 12.7582 Å; angles 110.76, 90.00, 106.90 degrees
Element x y z (fractional)
Y: 0.5000 0.0000 0.5000
Y: 0.6628 0.3255 0.0313
Y: 0.7144 0.4287 0.3383
Y: 0.2856 0.5713 0.6617
Y: 0.3372 0.6745 0.9687
Er: 0.0511 0.1022 0.7900
Er: 0.9489 0.8978 0.2100
Bi: 0.1176 0.2351 0.4323
Bi: 0.6961 0.3922 0.7829
Bi: 0.3039 0.6078 0.2171
Bi: 0.8824 0.7649 0.5677
Bi: 0.0000 0.0000 0.0000


(18)
A plane-wave DFT calculation with GGA-PBE was carried out for a relaxed structure of YEr3Bi4.

Cell lengths 6.2983, 6.2983, 6.2983 Å; angles 90.00, 90.00, 90.00 degrees
Element x y z (fractional)
Y: 0.0000 0.0000 0.0000
Bi: 0.5000 0.0000 0.0000
Bi: 0.0000 0.5000 0.0000
Bi: 0.0000 0.0000 0.5000
Bi: 0.5000 0.5000 0.5000
Er: 0.0000 0.5000 0.5000
Er: 0.5000 0.0000 0.5000
Er: 0.5000 0.5000 0.0000


(19)
A plane-wave DFT calculation with GGA-PBE was carried out for a relaxed structure of YEr8Bi6.

Cell lengths 7.5877, 7.5877, 10.7481 Å; angles 69.33, 69.33, 60.00 degrees
Element x y z (fractional)
Y: 0.0000 0.0000 0.0000
Er: 0.5482 0.2094 0.3654
Er: 0.7906 0.1230 0.6346
Er: 0.1230 0.4518 0.6346
Er: 0.6665 0.6665 0.0004
Er: 0.3335 0.3335 0.9996
Er: 0.8770 0.5482 0.3654
Er: 0.2094 0.8770 0.3654
Er: 0.4518 0.7906 0.6346
Bi: 0.3986 0.0618 0.8126
Bi: 0.9382 0.2729 0.1874
Bi: 0.2729 0.6014 0.1874
Bi: 0.7271 0.3986 0.8126
Bi: 0.0618 0.7271 0.8126
Bi: 0.6014 0.9382 0.1874


Number 1: calculated volume 123.0 Å³/f.u., DFT total energy -5.255 eV/atom, calculated formation energy -387 meV per atom. Number 2: calculated volume 88.6 Å³/f.u., DFT total energy -5.582 eV/atom, calculated formation energy -613 meV per atom. Number 3: calculated volume 375.0 Å³/f.u., DFT total energy -5.207 eV/atom, calculated formation energy -827 meV per atom. Number 4: calculated volume 98.5 Å³/f.u., DFT total energy -5.401 eV/atom, calculated formation energy -432 meV per atom. Number 5: calculated volume 252.8 Å³/f.u., DFT total energy -5.816 eV/atom, calculated formation energy -881 meV per atom. Number 6: calculated volume 176.2 Å³/f.u., DFT total energy -5.219 eV/atom, calculated formation energy -567 meV per atom. Number 7: calculated volume 319.8 Å³/f.u., DFT total energy -5.038 eV/atom, calculated formation energy -42 meV per atom. Number 8: calculated volume 231.7 Å³/f.u., DFT total energy -5.393 eV/atom, calculated formation energy -579 meV per atom. Number 9: calculated volume 312.4 Å³/f.u., DFT total energy -5.242 eV/atom, calculated formation energy -830 meV per atom. Number 10: calculated volume 371.3 Å³/f.u., DFT total energy -5.561 eV/atom, calculated formation energy -382 meV per atom. Number 11: calculated volume 204.0 Å³/f.u., DFT total energy -5.238 eV/atom, calculated formation energy -696 meV per atom. Number 12: calculated volume 253.4 Å³/f.u., DFT total energy -5.811 eV/atom, calculated formation energy -876 meV per atom. Number 13: calculated volume 88.1 Å³/f.u., DFT total energy -5.436 eV/atom, calculated formation energy -467 meV per atom. Number 14: calculated volume 123.5 Å³/f.u., DFT total energy -5.057 eV/atom, calculated formation energy -189 meV per atom. Number 15: calculated volume 380.8 Å³/f.u., DFT total energy -5.898 eV/atom, calculated formation energy -883 meV per atom. Number 16: calculated volume 763.5 Å³/f.u., DFT total energy -4.841 eV/atom, calculated formation energy -212 meV per atom. Number 17: calculated volume 384.2 Å³/f.u., DFT total energy -5.681 eV/atom, calculated formation energy -610 meV per atom. Number 18: calculated volume 249.9 Å³/f.u., DFT total energy -5.298 eV/atom, calculated formation energy -839 meV per atom. Number 19: calculated volume 489.4 Å³/f.u., DFT total energy -4.897 eV/atom, calculated formation energy -481 meV per atom.